Computed, not measured: a relaxed Cu3WSe2F6 crystal at the PBE with a Hubbard U level of DFT.

Cell: 13.708 7.414 4.924 Å, 90.00 108.60 90.00°
Space group C2/m (No. 12)
Asymmetric unit:
Cu 0.000 0.000 0.000 x2
Cu 0.250 0.250 0.500 x4
W 0.000 0.500 0.500 x2
Se 0.160 0.000 0.312 x4
F 0.080 0.309 0.736 x8
F 0.098 0.500 0.284 x4

Calculated values
Its density of states at the Fermi level is 6.73 states/eV/f.u. For the total energy, the calculation gives -4.58 eV per atom. The calculation puts the total moment at 1.7 Bohr magnetons per cell.